1.
Material: TeAs2Rh
Method: DFT, PBE
State: optimized geometry

Uncorrected energy   -5.080 eV/atom
Symmetry   P2/m, No. 10
Volume   20.25 Å³/atom
Magnetization   0.0 Bohr magnetons per cell

The structure in extended XYZ format:
```
4
Lattice="5.076 0.000 0.000 0.000 3.494 0.000 -2.438 0.000 4.567" Properties=species:S:1:pos:R:3 pbc="T T T"
Te 0.000 0.000 0.000
As -0.265 1.747 3.182
As 2.903 1.747 1.385
Rh 1.319 0.000 2.284
```


2.
Material: Pm4PBr2N
Method: DFT, PBE
State: optimized geometry

Uncorrected energy   -5.933 eV/atom
Symmetry   P2/m, No. 10
Volume   24.40 Å³/atom
Magnetization   0.0 Bohr magnetons per cell

The structure in extended XYZ format:
```
8
Lattice="6.881 0.000 0.000 0.000 3.909 0.000 -2.290 0.000 7.258" Properties=species:S:1:pos:R:3 pbc="T T T"
Pm 0.985 0.000 1.341
Pm -0.236 1.954 5.882
Pm 4.828 1.954 1.376
Pm 3.606 0.000 5.916
P 3.441 0.000 0.000
Br -1.145 0.000 3.629
Br 2.296 1.954 3.629
N 0.000 1.954 0.000
```